Record 1
Material: RbTlCd2Sb2
Method: DFT, PBE-GGA
State: optimized geometry

Calculated values
density of states at the Fermi level = 0.06 states/eV/atom
crystal system = trigonal
raw formation energy = -1.3 eV per formula unit

Cell: 4.9005 4.9005 10.1226 Å, 90.00 90.00 120.00°
Positions (direct):
Rb 0.0000 0.0000 0.0000
Tl 0.0000 0.0000 0.5000
Cd 0.3333 0.6667 0.7035
Cd 0.6667 0.3333 0.2965
Sb 0.3333 0.6667 0.2648
Sb 0.6667 0.3333 0.7352

***

Record 2
Material: Rb2TlCd3Sb4
Method: DFT, PBE-GGA
State: optimized geometry

Calculated values
density of states at the Fermi level = 0.34 states/eV/atom
crystal system = tetragonal
raw formation energy = -2.3 eV per formula unit

Cell: 5.3108 5.3108 11.7118 Å, 90.00 90.00 90.00°
Positions (direct):
Rb 0.0000 0.5000 0.2457
Rb 0.5000 0.0000 0.7543
Tl 0.0000 0.0000 0.5000
Cd 0.0000 0.5000 0.8771
Cd 0.5000 0.0000 0.1229
Cd 0.5000 0.5000 0.5000
Sb 0.0000 0.0000 0.0000
Sb 0.0000 0.5000 0.6302
Sb 0.5000 0.0000 0.3698
Sb 0.5000 0.5000 0.0000

***

Record 3
Material: Rb3Tl2Cd2Sb4
Method: DFT, PBE-GGA
State: optimized geometry

Calculated values
density of states at the Fermi level = 0.55 states/eV/atom
crystal system = trigonal
raw formation energy = -2.3 eV per formula unit

Cell: 4.8655 4.8655 20.6396 Å, 90.00 90.00 120.00°
Positions (direct):
Rb 0.0000 0.0000 0.0000
Rb 0.0000 0.0000 0.2953
Rb 0.0000 0.0000 0.7047
Tl 0.3333 0.6667 0.1753
Tl 0.6667 0.3333 0.8247
Cd 0.3333 0.6667 0.5526
Cd 0.6667 0.3333 0.4474
Sb 0.3333 0.6667 0.4067
Sb 0.3333 0.6667 0.8752
Sb 0.6667 0.3333 0.1248
Sb 0.6667 0.3333 0.5933

***

Record 4
Material: RbCdSb2W
Method: DFT, PBE-GGA
State: optimized geometry

Calculated values
density of states at the Fermi level = 0.47 states/eV/atom
crystal system = tetragonal
raw formation energy = 0.9 eV per formula unit

Cell: 5.2872 5.2872 5.5637 Å, 90.00 90.00 90.00°
Positions (direct):
Rb 0.0000 0.0000 0.0000
Cd 0.5000 0.5000 0.0000
Sb 0.0000 0.5000 0.5000
Sb 0.5000 0.0000 0.5000
W 0.5000 0.5000 0.5000

***

Record 5
Material: RbZn2CdSb
Method: DFT, PBE-GGA
State: optimized geometry

Calculated values
density of states at the Fermi level = 1.07 states/eV/atom
crystal system = tetragonal
raw formation energy = 4.7 eV per formula unit

Cell: 6.3762 6.3762 6.6680 Å, 90.00 90.00 90.00°
Positions (direct):
Rb 0.0000 0.0000 0.0000
Zn 0.0000 0.5000 0.0000
Zn 0.5000 0.0000 0.0000
Cd 0.0000 0.0000 0.5000
Sb 0.5000 0.5000 0.5000

***

Record 6
Material: RbZn2CdSb2
Method: DFT, PBE-GGA
State: optimized geometry

Calculated values
density of states at the Fermi level = 0.27 states/eV/atom
crystal system = trigonal
raw formation energy = -0.9 eV per formula unit

Cell: 4.7472 4.7472 8.8481 Å, 90.00 90.00 120.00°
Positions (direct):
Rb 0.0000 0.0000 0.0000
Zn 0.3333 0.6667 0.3595
Zn 0.6667 0.3333 0.6405
Cd 0.0000 0.0000 0.5000
Sb 0.3333 0.6667 0.7072
Sb 0.6667 0.3333 0.2928

***

Record 7
Material: RbZnCdSb
Method: DFT, PBE-GGA
State: optimized geometry

Calculated values
density of states at the Fermi level = 0.35 states/eV/atom
crystal system = tetragonal
raw formation energy = -0.7 eV per formula unit

Cell: 4.3247 4.3247 14.5302 Å, 90.00 90.00 90.00°
Positions (direct):
Rb 0.2500 0.2500 0.2445
Rb 0.7500 0.7500 0.7555
Zn 0.2500 0.7500 0.5000
Zn 0.7500 0.2500 0.5000
Cd 0.2500 0.7500 0.0000
Cd 0.7500 0.2500 0.0000
Sb 0.2500 0.2500 0.6174
Sb 0.7500 0.7500 0.3826

***

Record 8
Material: RbScCd2
Method: DFT, PBE-GGA
State: optimized geometry

Calculated values
density of states at the Fermi level = 0.60 states/eV/atom
E_form = 0.3877 eV per atom
distance to the lowest polymorph of the same formula = 409.4 meV per atom
crystal system = tetragonal

Cell: 8.7278 8.7278 7.3330 Å, 90.00 90.00 90.00°
Positions (direct):
Rb 0.0000 0.0000 0.0000
Rb 0.0000 0.5000 0.2500
Rb 0.5000 0.0000 0.7500
Rb 0.5000 0.5000 0.5000
Sc 0.0000 0.0000 0.5000
Sc 0.0000 0.5000 0.7500
Sc 0.5000 0.0000 0.2500
Sc 0.5000 0.5000 0.0000
Cd 0.1985 0.2500 0.6250
Cd 0.2500 0.6985 0.8750
Cd 0.2500 0.8015 0.3750
Cd 0.3015 0.2500 0.1250
Cd 0.6985 0.7500 0.1250
Cd 0.7500 0.1985 0.3750
Cd 0.7500 0.3015 0.8750
Cd 0.8015 0.7500 0.6250

***

Record 9
Material: Rb2ScCd
Method: DFT, PBE-GGA
State: optimized geometry

Calculated values
density of states at the Fermi level = 1.14 states/eV/atom
E_form = 0.5540 eV per atom
crystal system = tetragonal

Cell: 12.9470 12.9470 5.6781 Å, 90.00 90.00 90.00°
Positions (direct):
Rb 0.1119 0.2500 0.1250
Rb 0.2500 0.6119 0.3750
Rb 0.2500 0.8881 0.8750
Rb 0.3881 0.2500 0.6250
Rb 0.6119 0.7500 0.6250
Rb 0.7500 0.1119 0.8750
Rb 0.7500 0.3881 0.3750
Rb 0.8881 0.7500 0.1250
Sc 0.0000 0.0000 0.5000
Sc 0.0000 0.5000 0.7500
Sc 0.5000 0.0000 0.2500
Sc 0.5000 0.5000 0.0000
Cd 0.0000 0.0000 0.0000
Cd 0.0000 0.5000 0.2500
Cd 0.5000 0.0000 0.7500
Cd 0.5000 0.5000 0.5000

***

Record 10
Material: RbSc3Cd
Method: DFT, PBE-GGA
State: optimized geometry

Calculated values
density of states at the Fermi level = 1.22 states/eV/atom
E_form = 1.3863 eV per atom
distance to the lowest polymorph of the same formula = 772.6 meV per atom
crystal system = cubic

Cell: 5.1012 5.1012 5.1012 Å, 90.00 90.00 90.00°
Positions (direct):
Rb 0.0000 0.0000 0.0000
Sc 0.0000 0.0000 0.5000
Sc 0.0000 0.5000 0.0000
Sc 0.5000 0.0000 0.0000
Cd 0.5000 0.5000 0.5000

***

Record 11
Material: RbScCd2
Method: DFT, PBE-GGA
State: optimized geometry

Calculated values
density of states at the Fermi level = 0.61 states/eV/atom
E_form = 0.2670 eV per atom
distance to the lowest polymorph of the same formula = 288.6 meV per atom
crystal system = cubic

Cell: 7.8240 7.8240 7.8240 Å, 90.00 90.00 90.00°
Positions (direct):
Rb 0.0000 0.0000 0.0000
Rb 0.0000 0.5000 0.5000
Rb 0.5000 0.0000 0.5000
Rb 0.5000 0.5000 0.0000
Sc 0.0000 0.0000 0.5000
Sc 0.0000 0.5000 0.0000
Sc 0.5000 0.0000 0.0000
Sc 0.5000 0.5000 0.5000
Cd 0.2500 0.2500 0.2500
Cd 0.2500 0.2500 0.7500
Cd 0.2500 0.7500 0.2500
Cd 0.2500 0.7500 0.7500
Cd 0.7500 0.2500 0.2500
Cd 0.7500 0.2500 0.7500
Cd 0.7500 0.7500 0.2500
Cd 0.7500 0.7500 0.7500

***

Record 12
Material: RbSc2Cd
Method: DFT, PBE-GGA
State: optimized geometry

Calculated values
density of states at the Fermi level = 1.48 states/eV/atom
E_form = 0.6498 eV per atom
crystal system = trigonal

Cell: 3.3339 3.3339 39.1040 Å, 90.00 90.00 120.00°
Positions (direct):
Rb 0.0000 0.0000 0.0000
Rb 0.3333 0.6667 0.6667
Rb 0.6667 0.3333 0.3333
Sc 0.0000 0.0000 0.4217
Sc 0.0000 0.0000 0.5783
Sc 0.3333 0.6667 0.0884
Sc 0.3333 0.6667 0.2449
Sc 0.6667 0.3333 0.7551
Sc 0.6667 0.3333 0.9116
Cd 0.0000 0.0000 0.5000
Cd 0.3333 0.6667 0.1667
Cd 0.6667 0.3333 0.8333

***

| no. | spin magnetization (μB per atom) | E (eV/f.u.) |
| --- | --- | --- |
| 1 | 0.00 | -14.71 |
| 2 | 0.00 | -25.85 |
| 3 | 0.00 | -28.23 |
| 4 | 0.00 | -22.15 |
| 5 | 0.40 | -3.81 |
| 6 | 0.00 | -13.55 |
| 7 | 0.00 | -7.99 |
| 8 | 0.00 | -7.58 |
| 9 | 0.00 | -6.97 |
| 10 | 0.00 | -13.95 |
| 11 | 0.00 | -8.06 |
| 12 | 0.21 | -11.95 |